Below is crystalline TcAs at its relaxed geometry, with properties calculated at the PBEsol level.

The calculation puts the total DFT energy (no corrections) at -8.416 eV/atom. Its crystal system is cubic. The value obtained for the calculated volume is 29.90 Å³/f.u. Its formation energy is -230 meV per atom.

It has space group P2_13 (No. 198), with a = 4.9270 Å, b = 4.9270 Å, c = 4.9270 Å, α = 90.00°, β = 90.00° and γ = 90.00°. The distinct sites, in fractional coordinates, are Tc at (0.1358, 0.1358, 0.1358) and As at (0.0793, 0.5793, 0.9207).